1.
Material: Pa3Ni2As2P4
Method: DFT, PBE
State: optimized geometry

Cell lengths 4.2200, 4.2200, 23.3886 Å; angles 90.00, 90.00, 90.00 degrees
With the nearest neighbours (Å) after each atom.
Space group I4/mmm (No. 139)
Inequivalent atoms, fractional coordinates:
Pa (0.0000, 0.0000, 0.0000) (multiplicity 2)  8 P 2.82
Pa (0.0000, 0.0000, 0.1652) (multiplicity 4)  4 P 2.90, 5 As 2.94-3.16, 4 Ni 3.24
Ni (0.0000, 0.0000, 0.3891) (multiplicity 4)  4 P 2.23, 1 As 2.30
As (0.0000, 0.0000, 0.2909) (multiplicity 4)  1 Ni 2.30
P (0.0000, 0.5000, 0.0801) (multiplicity 8)  2 Ni 2.23

Output
Energy of formation from the pure elements: -0.85 eV per atom


2.
Material: PaNiAsP
Method: DFT, PBE
State: optimized geometry

Cell lengths 3.8889, 3.8889, 9.1390 Å; angles 90.00, 90.00, 90.00 degrees
With the nearest neighbours (Å) after each atom.
Space group P4/nmm (No. 129, origin choice 2)
Inequivalent atoms, fractional coordinates:
Pa (0.2500, 0.2500, 0.2489) (multiplicity 2)  4 P 2.91, 4 Ni 2.99, 4 As 3.01
Ni (0.2500, 0.7500, 0.0000) (multiplicity 2)  4 P 2.36
As (0.2500, 0.7500, 0.5000) (multiplicity 2)  4 As 2.75, 4 Pa 3.01
P (0.2500, 0.2500, 0.8537) (multiplicity 2)  4 Ni 2.36

Output
Energy of formation from the pure elements: -0.94 eV per atom


3.
Material: Ni2AsPPd
Method: DFT, PBE
State: optimized geometry

Cell lengths 4.2870, 4.2870, 4.7158 Å; angles 90.00, 90.00, 90.00 degrees
With the nearest neighbours (Å) after each atom.
Space group P4/mmm (No. 123)
Inequivalent atoms, fractional coordinates:
Ni (0.0000, 0.5000, 0.0000) (multiplicity 2)  2 As 2.14
As (0.0000, 0.0000, 0.0000) (multiplicity 1)  4 Ni 2.14, 2 P 2.36
P (0.0000, 0.0000, 0.5000) (multiplicity 1)  2 As 2.36
Pd (0.5000, 0.5000, 0.5000) (multiplicity 1)  4 P 3.03, 8 Ni 3.19

Output
Energy of formation from the pure elements: 0.67 eV per atom


4.
Material: NiAs2PPd
Method: DFT, PBE
State: optimized geometry

Cell lengths 4.7989, 4.7989, 4.0713 Å; angles 90.00, 90.00, 90.00 degrees
With the nearest neighbours (Å) after each atom.
Space group P4/mmm (No. 123)
Inequivalent atoms, fractional coordinates:
Ni (0.0000, 0.0000, 0.0000) (multiplicity 1)  2 P 2.04
As (0.0000, 0.5000, 0.5000) (multiplicity 2)  2 P 2.40
P (0.0000, 0.0000, 0.5000) (multiplicity 1)  2 Ni 2.04
Pd (0.5000, 0.5000, 0.0000) (multiplicity 1)  8 As 3.15, 4 Ni 3.39

Output
Energy of formation from the pure elements: 0.54 eV per atom


5.
Material: Pm2Ni4As3P
Method: DFT, PBE
State: optimized geometry

Cell lengths 4.1638, 4.1638, 9.3817 Å; angles 90.00, 90.00, 90.00 degrees
With the nearest neighbours (Å) after each atom.
Space group P-4m2 (No. 115)
Inequivalent atoms, fractional coordinates:
Pm (0.0000, 0.5000, 0.2468) (multiplicity 2)  6 As 3.11-3.16, 2 P 3.11, 9 Ni 3.16-3.37
Ni (0.0000, 0.0000, 0.5000) (multiplicity 1)  4 As 2.42
Ni (0.0000, 0.5000, 0.8875) (multiplicity 2)  3 As 2.33-2.40, 2 P 2.33
Ni (0.5000, 0.5000, 0.5000) (multiplicity 1)  4 As 2.42
As (0.0000, 0.0000, 0.0000) (multiplicity 1)  4 Ni 2.33
As (0.0000, 0.5000, 0.6315) (multiplicity 2)  5 Ni 2.40-2.42
P (0.5000, 0.5000, 0.0000) (multiplicity 1)  4 Ni 2.33

Output
Energy of formation from the pure elements: -0.87 eV per atom


6.
Material: Pr2Ni4As3P
Method: DFT, PBE
State: optimized geometry

Cell lengths 4.1945, 4.1945, 9.4382 Å; angles 90.00, 90.00, 90.00 degrees
With the nearest neighbours (Å) after each atom.
Space group P-4m2 (No. 115)
Inequivalent atoms, fractional coordinates:
Pr (0.0000, 0.5000, 0.2471) (multiplicity 2)  6 As 3.14-3.18, 2 P 3.14, 9 Ni 3.18-3.38
Ni (0.0000, 0.0000, 0.5000) (multiplicity 1)  4 As 2.43
Ni (0.0000, 0.5000, 0.8888) (multiplicity 2)  3 As 2.35-2.44, 2 P 2.35
Ni (0.5000, 0.5000, 0.5000) (multiplicity 1)  4 As 2.43
As (0.0000, 0.0000, 0.0000) (multiplicity 1)  4 Ni 2.35
As (0.0000, 0.5000, 0.6306) (multiplicity 2)  5 Ni 2.43-2.44
P (0.5000, 0.5000, 0.0000) (multiplicity 1)  4 Ni 2.35

Output
Energy of formation from the pure elements: -0.86 eV per atom


7.
Material: PuNi2AsP
Method: DFT, PBE
State: optimized geometry

Cell lengths 3.9229, 3.9229, 9.9907 Å; angles 90.00, 90.00, 90.00 degrees
With the nearest neighbours (Å) after each atom.
Space group I4mm (No. 107)
Inequivalent atoms, fractional coordinates:
Pu (0.0000, 0.0000, 0.0000) (multiplicity 2)  4 As 3.04, 4 P 3.06, 8 Ni 3.10-3.26
Ni (0.0000, 0.5000, 0.2398) (multiplicity 4)  2 P 2.25, 2 As 2.39
As (0.0000, 0.0000, 0.3767) (multiplicity 2)  4 Ni 2.39, 1 P 2.52
P (0.0000, 0.0000, 0.6291) (multiplicity 2)  4 Ni 2.25, 1 As 2.52

Output
Energy of formation from the pure elements: -0.73 eV per atom


8.
Material: Pu2Ni4As3P
Method: DFT, PBE
State: optimized geometry

Cell lengths 4.1442, 4.1442, 9.2602 Å; angles 90.00, 90.00, 90.00 degrees
With the nearest neighbours (Å) after each atom.
Space group P-4m2 (No. 115)
Inequivalent atoms, fractional coordinates:
Pu (0.0000, 0.5000, 0.2432) (multiplicity 2)  2 P 3.06, 6 As 3.06-3.14, 9 Ni 3.15-3.28
Ni (0.0000, 0.0000, 0.5000) (multiplicity 1)  4 As 2.42
Ni (0.0000, 0.5000, 0.8887) (multiplicity 2)  2 P 2.31, 3 As 2.31-2.35
Ni (0.5000, 0.5000, 0.5000) (multiplicity 1)  4 As 2.42
As (0.0000, 0.0000, 0.0000) (multiplicity 1)  4 Ni 2.31
As (0.0000, 0.5000, 0.6352) (multiplicity 2)  5 Ni 2.35-2.42
P (0.5000, 0.5000, 0.0000) (multiplicity 1)  4 Ni 2.31

Output
Energy of formation from the pure elements: -0.69 eV per atom


9.
Material: RbNi2AsP
Method: DFT, PBE
State: optimized geometry

Cell lengths 7.3083, 4.0117, 8.0300 Å; angles 90.00, 105.86, 90.00 degrees
With the nearest neighbours (Å) after each atom.
Space group P2_1/m (No. 11)
Inequivalent atoms, fractional coordinates:
Rb (0.0540, 0.2500, 0.2513) (multiplicity 2)  3 As 3.45-3.51, 3 P 3.47-3.49, 4 Ni 3.69-3.82
Ni (0.4995, 0.2500, 0.1179) (multiplicity 2)  3 P 2.20-2.24, 1 As 2.38
Ni (0.4987, 0.7500, 0.3673) (multiplicity 2)  1 P 2.19, 3 As 2.32-2.36
As (0.3345, 0.7500, 0.5824) (multiplicity 2)  4 Ni 2.32-2.38
P (0.3564, 0.7500, 0.0900) (multiplicity 2)  4 Ni 2.19-2.24

Output
Energy of formation from the pure elements: -0.39 eV per atom


10.
Material: NiAsPS2
Method: DFT, PBE
State: optimized geometry

Cell lengths 4.5405, 4.5405, 4.2436 Å; angles 90.00, 90.00, 90.00 degrees
With the nearest neighbours (Å) after each atom.
Space group P4/mmm (No. 123)
Inequivalent atoms, fractional coordinates:
Ni (0.0000, 0.0000, 0.0000) (multiplicity 1)  2 P 2.12, 4 S 2.27
As (0.5000, 0.5000, 0.5000) (multiplicity 1)  8 S 3.11, 4 P 3.21
P (0.0000, 0.0000, 0.5000) (multiplicity 1)  2 Ni 2.12
S (0.0000, 0.5000, 0.0000) (multiplicity 2)  2 Ni 2.27

Output
ΔE to the lowest computed polymorph: 0 meV per atom


11.
Material: ScNiAs2P
Method: DFT, PBE
State: optimized geometry

Cell lengths 4.8426, 4.8426, 4.1084 Å; angles 90.00, 90.00, 90.00 degrees
With the nearest neighbours (Å) after each atom.
Space group P4/mmm (No. 123)
Inequivalent atoms, fractional coordinates:
Sc (0.0000, 0.0000, 0.0000) (multiplicity 1)  8 As 3.18, 4 P 3.42
Ni (0.5000, 0.5000, 0.5000) (multiplicity 1)  2 P 2.05
As (0.0000, 0.5000, 0.5000) (multiplicity 2)  2 Ni 2.42
P (0.5000, 0.5000, 0.0000) (multiplicity 1)  2 Ni 2.05

Output
Energy of formation from the pure elements: -0.02 eV per atom
ΔE to the lowest computed polymorph: 0 meV per atom


12.
Material: ScNiAs2P
Method: DFT, PBE
State: optimized geometry

Cell lengths 4.7192, 4.7192, 4.7603 Å; angles 90.00, 90.00, 90.00 degrees
With the nearest neighbours (Å) after each atom.
Space group P4/mmm (No. 123)
Inequivalent atoms, fractional coordinates:
Sc (0.0000, 0.0000, 0.0000) (multiplicity 1)  2 P 2.38
Ni (0.5000, 0.5000, 0.0000) (multiplicity 1)  4 Sc 3.34, 8 As 3.35
As (0.0000, 0.5000, 0.5000) (multiplicity 2)  2 P 2.36
P (0.0000, 0.0000, 0.5000) (multiplicity 1)  4 As 2.36, 2 Sc 2.38

Output
Energy of formation from the pure elements: 0.49 eV per atom
ΔE to the lowest computed polymorph: 506 meV per atom


no.,mass density (Mg/m³)
1,8.6
2,9.5
3,6.3
4,6.1
5,8.0
6,7.7
7,10.1
8,10.2
9,4.5
10,4.3
11,4.9
12,4.5